# 1
# AcThGeAu, optimized geometry, DFT PBE
# M_tot: 0.01 μB per cell
# E_form: -204 kJ/mol of formula units
# E: -86.2 eV per cell
data_AcThGeAu
_cell_length_a 7.6037
_cell_length_b 7.6037
_cell_length_c 7.6037
_cell_angle_alpha 90.00
_cell_angle_beta 90.00
_cell_angle_gamma 90.00
_space_group_name_H-M_alt 'F -4 3 m'
_space_group_IT_number 216
_space_group_name_Hall 'F -4 2 3'
loop_
_atom_site_label
_atom_site_type_symbol
_atom_site_fract_x
_atom_site_fract_y
_atom_site_fract_z
Ac1 Ac 0.0000 0.0000 0.0000
Th1 Th 0.0000 0.0000 0.5000
Ge1 Ge 0.2500 0.2500 0.7500
Au1 Au 0.2500 0.2500 0.2500

---

# 2
# RbS2I, optimized geometry, DFT PBE
# M_tot: 0.01 μB per cell
# E: -37.4 eV per cell
# raw formation energy: 8.2 kcal/mol of atoms
# energy above the lowest structure with this stoichiometry: 339.1 kJ/mol of formula units
data_RbS2I
_cell_length_a 7.6250
_cell_length_b 7.6250
_cell_length_c 7.6250
_cell_angle_alpha 90.00
_cell_angle_beta 90.00
_cell_angle_gamma 90.00
_space_group_name_H-M_alt 'F m -3 m'
_space_group_IT_number 225
_space_group_name_Hall '-F 4 2 3'
loop_
_atom_site_label
_atom_site_type_symbol
_atom_site_fract_x
_atom_site_fract_y
_atom_site_fract_z
Rb1 Rb 0.0000 0.0000 0.0000
S1 S 0.2500 0.2500 0.2500
I1 I 0.0000 0.0000 0.5000

---

# 3
# CuAsO2, optimized geometry, DFT PBE
# M_tot: 4.02 μB per cell
# E: -61.5 eV per cell
# raw formation energy: -10.6 kcal/mol of atoms
data_CuAsO2
_cell_length_a 3.0159
_cell_length_b 3.0159
_cell_length_c 18.2400
_cell_angle_alpha 90.00
_cell_angle_beta 90.00
_cell_angle_gamma 120.00
_space_group_name_H-M_alt 'R -3 m'
_space_group_IT_number 166
_space_group_name_Hall '-R 3 2"'
loop_
_atom_site_label
_atom_site_type_symbol
_atom_site_fract_x
_atom_site_fract_y
_atom_site_fract_z
Cu1 Cu 0.0000 0.0000 0.0000
As1 As 0.0000 0.0000 0.5000
O1 O 0.0000 0.0000 0.3924

---

# 4
# LaZr2Cu, optimized geometry, DFT PBE
# M_tot: 0.00 μB per cell
# E_form: 10 kJ/mol of formula units
# E: -52.0 eV per cell
# energy above the lowest structure with this stoichiometry: 20.4 kJ/mol of formula units
data_LaZr2Cu
_cell_length_a 3.3419
_cell_length_b 5.2139
_cell_length_c 10.7924
_cell_angle_alpha 90.00
_cell_angle_beta 90.00
_cell_angle_gamma 90.00
_space_group_name_H-M_alt 'I m m m'
_space_group_IT_number 71
_space_group_name_Hall '-I 2 2'
loop_
_atom_site_label
_atom_site_type_symbol
_atom_site_fract_x
_atom_site_fract_y
_atom_site_fract_z
La1 La 0.0000 0.0000 0.0000
Zr1 Zr 0.0000 0.5000 0.2136
Cu1 Cu 0.0000 0.0000 0.5000

---

# 5
# B2C3, optimized geometry, DFT PBE
# M_tot: 0.00 μB per cell
# E_form: 233 kJ/mol of formula units
# E: -154.5 eV per cell
# energy above the lowest structure with this stoichiometry: 118.7 kJ/mol of formula units
data_B2C3
_cell_length_a 2.5116
_cell_length_b 13.6148
_cell_length_c 3.8039
_cell_angle_alpha 90.00
_cell_angle_beta 90.00
_cell_angle_gamma 90.00
_space_group_name_H-M_alt 'I m m a'
_space_group_IT_number 74
_space_group_name_Hall '-I 2b 2'
loop_
_atom_site_label
_atom_site_type_symbol
_atom_site_fract_x
_atom_site_fract_y
_atom_site_fract_z
B1 B 0.0000 0.0578 0.0856
C1 C 0.0000 0.1599 0.8665
C2 C 0.0000 0.2500 0.1319

---

# 6
# Pm4TeAs3, optimized geometry, DFT PBE
# M_tot: 0.00 μB per cell
# E: -96.8 eV per cell
# raw formation energy: -35.5 kcal/mol of atoms
data_Pm4TeAs3
_cell_length_a 8.6201
_cell_length_b 12.1446
_cell_length_c 4.2859
_cell_angle_alpha 90.00
_cell_angle_beta 90.00
_cell_angle_gamma 90.00
_space_group_name_H-M_alt 'C m m m'
_space_group_IT_number 65
_space_group_name_Hall '-C 2 2'
loop_
_atom_site_label
_atom_site_type_symbol
_atom_site_fract_x
_atom_site_fract_y
_atom_site_fract_z
Pm1 Pm 0.0000 0.2426 0.0000
Pm2 Pm 0.2340 0.0000 0.5000
Te1 Te 0.0000 0.5000 0.0000
As1 As 0.0000 0.0000 0.0000
As2 As 0.2500 0.2500 0.5000

---

# 7
# AcHo3In2, optimized geometry, DFT PBE
# M_tot: 0.00 μB per cell
# E_form: -167 kJ/mol of formula units
# E: -25.0 eV per cell
# energy above the lowest structure with this stoichiometry: 0.0 kJ/mol of formula units
data_AcHo3In2
_cell_length_a 3.6717
_cell_length_b 3.6717
_cell_length_c 13.2113
_cell_angle_alpha 90.00
_cell_angle_beta 90.00
_cell_angle_gamma 90.00
_space_group_name_H-M_alt 'P 4/m m m'
_space_group_IT_number 123
_space_group_name_Hall '-P 4 2'
loop_
_atom_site_label
_atom_site_type_symbol
_atom_site_fract_x
_atom_site_fract_y
_atom_site_fract_z
Ac1 Ac 0.0000 0.0000 0.0000
Ho1 Ho 0.5000 0.5000 0.2015
Ho2 Ho 0.5000 0.5000 0.5000
In1 In 0.0000 0.0000 0.3486

---

# 8
# Tl2CuW, optimized geometry, DFT PBE
# M_tot: 0.00 μB per cell
# E_form: 313 kJ/mol of formula units
# E: -18.5 eV per cell
# energy above the lowest structure with this stoichiometry: 64.5 kJ/mol of formula units
data_Tl2CuW
_cell_length_a 3.1453
_cell_length_b 4.6464
_cell_length_c 5.7061
_cell_angle_alpha 90.00
_cell_angle_beta 105.81
_cell_angle_gamma 90.00
_space_group_name_H-M_alt 'P 1 m 1'
_space_group_IT_number 6
loop_
_space_group_symop_operation_xyz
'x,y,z'
'x,-y,z'
loop_
_atom_site_label
_atom_site_type_symbol
_atom_site_fract_x
_atom_site_fract_y
_atom_site_fract_z
Tl1 Tl 0.0000 0.0000 0.0000
Tl2 Tl 0.3007 0.5000 0.6044
Cu1 Cu 0.7073 0.0000 0.4183
W1 W 0.5704 0.5000 0.1434

---

# 9
# AsIrOs2, optimized geometry, DFT PBE
# M_tot: 0.00 μB per cell
# E_form: 191 kJ/mol of formula units
# E: -68.0 eV per cell
data_AsIrOs2
_cell_length_a 4.0094
_cell_length_b 4.0094
_cell_length_c 7.3084
_cell_angle_alpha 90.00
_cell_angle_beta 90.00
_cell_angle_gamma 90.00
_space_group_name_H-M_alt 'I 4/m m m'
_space_group_IT_number 139
_space_group_name_Hall '-I 4 2'
loop_
_atom_site_label
_atom_site_type_symbol
_atom_site_fract_x
_atom_site_fract_y
_atom_site_fract_z
As1 As 0.0000 0.0000 0.0000
Ir1 Ir 0.0000 0.0000 0.5000
Os1 Os 0.0000 0.5000 0.2500

---

# 10
# ZnAgSeN2, optimized geometry, DFT PBE
# M_tot: 3.66 μB per cell
# E: -16.0 eV per cell
# raw formation energy: 38.2 kcal/mol of atoms
# energy above the lowest structure with this stoichiometry: 122.1 kJ/mol of formula units
data_ZnAgSeN2
_cell_length_a 4.0141
_cell_length_b 4.0141
_cell_length_c 6.1656
_cell_angle_alpha 90.00
_cell_angle_beta 90.00
_cell_angle_gamma 90.00
_space_group_name_H-M_alt 'P 4/m m m'
_space_group_IT_number 123
_space_group_name_Hall '-P 4 2'
loop_
_atom_site_label
_atom_site_type_symbol
_atom_site_fract_x
_atom_site_fract_y
_atom_site_fract_z
Zn1 Zn 0.0000 0.0000 0.0000
Ag1 Ag 0.5000 0.5000 0.5000
Se1 Se 0.5000 0.5000 0.0000
N1 N 0.0000 0.5000 0.5000

---

# 11
# Li8Hg6Au, optimized geometry, DFT PBE
# M_tot: 0.00 μB per cell
# E_form: -405 kJ/mol of formula units
# E: -73.8 eV per cell
data_Li8Hg6Au
_cell_length_a 8.0678
_cell_length_b 8.0678
_cell_length_c 15.5446
_cell_angle_alpha 90.00
_cell_angle_beta 90.00
_cell_angle_gamma 120.00
_space_group_name_H-M_alt 'R -3'
_space_group_IT_number 148
_space_group_name_Hall '-R 3'
loop_
_atom_site_label
_atom_site_type_symbol
_atom_site_fract_x
_atom_site_fract_y
_atom_site_fract_z
Li1 Li 0.0000 0.0000 0.2287
Li2 Li 0.0360 0.2722 0.4082
Hg1 Hg 0.0370 0.2603 0.9155
Au1 Au 0.0000 0.0000 0.5000

---

# 12
# Pm2Cu5Si4, optimized geometry, DFT PBE
# M_tot: 0.00 μB per cell
# E: -222.9 eV per cell
# raw formation energy: -8.5 kcal/mol of atoms
data_Pm2Cu5Si4
_cell_length_a 5.6246
_cell_length_b 9.2408
_cell_length_c 13.8516
_cell_angle_alpha 90.00
_cell_angle_beta 90.00
_cell_angle_gamma 90.00
_space_group_name_H-M_alt 'F m m m'
_space_group_IT_number 69
_space_group_name_Hall '-F 2 2'
loop_
_atom_site_label
_atom_site_type_symbol
_atom_site_fract_x
_atom_site_fract_y
_atom_site_fract_z
Pm1 Pm 0.0000 0.0000 0.1444
Cu1 Cu 0.0000 0.0000 0.5000
Cu2 Cu 0.2500 0.2500 0.0000
Cu3 Cu 0.2500 0.2500 0.2500
Si1 Si 0.0000 0.1371 0.3616

---

Number 1: volume 27.48 Å³ per atom, D(E_F) 24.5 states/eV per cell. Number 2: volume 27.71 Å³ per atom, D(E_F) 21.4 states/eV per cell. Number 3: volume 11.97 Å³ per atom, D(E_F) 6.4 states/eV per cell. Number 4: volume 23.51 Å³ per atom, D(E_F) 9.0 states/eV per cell. Number 5: volume 6.50 Å³ per atom, D(E_F) 6.5 states/eV per cell. Number 6: volume 28.04 Å³ per atom, D(E_F) 2.9 states/eV per cell. Number 7: volume 29.68 Å³ per atom, D(E_F) 4.7 states/eV per cell. Number 8: volume 20.06 Å³ per atom, D(E_F) 2.1 states/eV per cell. Number 9: volume 14.69 Å³ per atom, D(E_F) 3.8 states/eV per cell. Number 10: volume 19.87 Å³ per atom, D(E_F) 2.2 states/eV per cell. Number 11: volume 19.47 Å³ per atom, D(E_F) 15.8 states/eV per cell. Number 12: volume 16.36 Å³ per atom, D(E_F) 12.9 states/eV per cell.